a:
The following is a DFT calculation (PBE-GGA) of a relaxed BaSc3Cr crystal.

Output
D(E_F)   14.2 states/eV per cell

abc: 5.211 5.211 5.211
angles: 90.00 90.00 90.00
Atoms (fractional coordinates):
1 Ba 0.000 0.000 0.000
2 Sc 0.000 0.000 0.500
3 Sc 0.000 0.500 0.000
4 Sc 0.500 0.000 0.000
5 Cr 0.500 0.500 0.500


b:
The following is a DFT calculation (PBE-GGA) of a relaxed BaSc3Cr crystal.

Output
D(E_F)   6.3 states/eV per cell

abc: 5.198 5.198 5.198
angles: 90.00 90.00 90.00
Atoms (fractional coordinates):
1 Ba 0.000 0.000 0.000
2 Sc 0.000 0.500 0.500
3 Sc 0.500 0.000 0.500
4 Sc 0.500 0.500 0.000
5 Cr 0.500 0.500 0.500


Which structure is the most stable? The one labeled b.


a:
The following is a DFT calculation (PBE-GGA) of a relaxed BaCr3Se crystal.

Output
D(E_F)   6.1 states/eV per cell

abc: 5.419 5.419 5.419
angles: 90.00 90.00 90.00
Atoms (fractional coordinates):
1 Ba 0.000 0.000 0.000
2 Cr 0.000 0.000 0.500
3 Cr 0.000 0.500 0.000
4 Cr 0.500 0.000 0.000
5 Se 0.500 0.500 0.500


b:
The following is a DFT calculation (PBE-GGA) of a relaxed BaCr3Se crystal.

Output
D(E_F)   4.2 states/eV per cell

abc: 5.085 5.085 5.085
angles: 90.00 90.00 90.00
Atoms (fractional coordinates):
1 Ba 0.000 0.000 0.000
2 Cr 0.000 0.500 0.500
3 Cr 0.500 0.000 0.500
4 Cr 0.500 0.500 0.000
5 Se 0.500 0.500 0.500


Which structure is the most stable? The one labeled b.


a:
The following is a DFT calculation (PBE-GGA) of a relaxed BaTl2CrSe crystal.

Output
D(E_F)   5.7 states/eV per cell

abc: 6.484 6.484 5.783
angles: 90.00 90.00 90.00
Atoms (fractional coordinates):
1 Ba 0.000 0.000 0.000
2 Tl 0.000 0.500 0.000
3 Tl 0.500 0.000 0.000
4 Cr 0.000 0.000 0.500
5 Se 0.500 0.500 0.500


b:
The following is a DFT calculation (PBE-GGA) of a relaxed BaTl2CrSe crystal.

Output
D(E_F)   3.2 states/eV per cell

abc: 6.684 6.684 5.942
angles: 90.00 90.00 90.00
Atoms (fractional coordinates):
1 Ba 0.000 0.000 0.000
2 Tl 0.000 0.500 0.000
3 Tl 0.500 0.000 0.000
4 Cr 0.500 0.500 0.500
5 Se 0.000 0.000 0.500


Which structure is the most stable? The one labeled b.


a:
The following is a DFT calculation (PBE-GGA) of a relaxed BaTaCr3 crystal.

Output
D(E_F)   3.6 states/eV per cell

abc: 4.838 4.838 4.838
angles: 90.00 90.00 90.00
Atoms (fractional coordinates):
1 Ba 0.000 0.000 0.000
2 Ta 0.500 0.500 0.500
3 Cr 0.000 0.000 0.500
4 Cr 0.000 0.500 0.000
5 Cr 0.500 0.000 0.000


b:
The following is a DFT calculation (PBE-GGA) of a relaxed BaTaCr3 crystal.

Output
D(E_F)   3.9 states/eV per cell

abc: 4.977 4.977 4.977
angles: 90.00 90.00 90.00
Atoms (fractional coordinates):
1 Ba 0.000 0.000 0.000
2 Ta 0.500 0.500 0.500
3 Cr 0.000 0.500 0.500
4 Cr 0.500 0.000 0.500
5 Cr 0.500 0.500 0.000


Which structure is the most stable? The one labeled b.


a:
The following is a DFT calculation (PBE-GGA) of a relaxed BaTaCr2 crystal.

Output
D(E_F)   4.0 states/eV per cell

abc: 9.723 9.723 9.723
angles: 19.10 19.10 19.10
Atoms (fractional coordinates):
1 Ba 0.000 0.000 0.000
2 Ta 0.500 0.500 0.500
3 Cr 0.232 0.232 0.232
4 Cr 0.768 0.768 0.768


b:
The following is a DFT calculation (PBE-GGA) of a relaxed BaTaCr2 crystal.

Output
D(E_F)   3.9 states/eV per cell

abc: 3.074 3.074 8.750
angles: 90.00 90.00 90.00
Atoms (fractional coordinates):
1 Ba 0.000 0.000 0.000
2 Ta 0.500 0.500 0.651
3 Cr 0.000 0.000 0.462
4 Cr 0.500 0.500 0.321


Which structure is the most stable? The one labeled b.


a:
The following is a DFT calculation (PBE-GGA) of a relaxed BaTaCr2 crystal.

Output
D(E_F)   4.8 states/eV per cell

abc: 4.836 4.836 6.587
angles: 96.00 96.00 37.97
Atoms (fractional coordinates):
1 Ba 0.000 0.000 0.000
2 Ta 0.500 0.500 0.500
3 Cr 0.237 0.237 0.614
4 Cr 0.763 0.763 0.386


b:
The following is a DFT calculation (PBE-GGA) of a relaxed BaTaCr2 crystal.

Output
D(E_F)   4.0 states/eV per cell

abc: 5.256 5.256 3.153
angles: 90.00 90.00 90.46
Atoms (fractional coordinates):
1 Ba 0.000 0.000 0.000
2 Ta 0.500 0.500 0.000
3 Cr 0.000 0.500 0.500
4 Cr 0.500 0.000 0.500


Which structure is the most stable? The one labeled a.